The following is a DFT calculation (PBE) of LaNdSN after structural relaxation.

Geometry as POSCAR:
```
LaNdSN
1.0
3.831 0.000 0.000
1.916 3.318 0.000
1.916 1.106 6.630
N S Nd La
1 1 1 1
direct
0.251 0.251 0.246
0.748 0.748 0.756
0.988 0.988 0.037
0.513 0.513 0.462
```

**Space group**: No. 160
**Energy relative to the elements, uncorrected**: -7.0 eV/f.u.